Record 1
The following is a DFT calculation (GGA-PBE) of a relaxed Li4Pd3Au2 crystal.

As for the calculated total energy: -3.76 eV per atom. For the density of states at the Fermi level, the calculation gives 1.76 states/eV/cell. The magnetization is 0.0 μB/f.u. The value obtained for the theoretical density is 9.2 Mg/m³.

The structure belongs to space group P-1 (No. 2); the cell edges are 4.000, 4.633 and 8.237 Å and the angles 76.85°, 89.96° and 64.49°. Symmetry generates all atoms from Li at (0.005, 0.488, 0.335), Li at (0.334, 0.831, 0.109), Pd at (0.000, 0.500, 0.000), Pd at (0.332, 0.835, 0.436) and Au at (0.332, 0.836, 0.782).

Record 2
The following is a DFT calculation (GGA-PBE) of a relaxed Cs3DyHo2Se6 crystal.

For the formation energy from raw total energies, the calculation gives -1725 meV per atom. As for the calculated total energy: -4.83 eV per atom. For the density of states at the Fermi level, the calculation gives 0.00 states/eV/cell. The magnetization is 0.0 μB/f.u. The value obtained for the theoretical density is 5.8 Mg/m³.

The structure belongs to space group C2/m (No. 12); the cell edges are 7.371, 12.767 and 8.724 Å and the angles 90.00°, 106.36° and 90.00°. Symmetry generates all atoms from Cs at (0.000, 0.000, 0.000), Cs at (0.000, 0.333, 0.000), Dy at (0.000, 0.500, 0.500), Ho at (0.000, 0.167, 0.500), Se at (0.227, 0.000, 0.685) and Se at (0.229, 0.333, 0.685).

Record 3
The following is a DFT calculation (GGA-PBE) of a relaxed NaCa2NiGe crystal.

As for the calculated total energy: -3.36 eV per atom. For the density of states at the Fermi level, the calculation gives 4.53 states/eV/cell. The magnetization is 0.0 μB/f.u. The value obtained for the theoretical density is 2.8 Mg/m³.

The structure belongs to space group P4/mmm (No. 123); the cell edges are 5.522, 5.522 and 4.501 Å and the angles 90.00°, 90.00° and 90.00°. Symmetry generates all atoms from Na at (0.000, 0.000, 0.000), Ca at (0.000, 0.500, 0.500), Ni at (0.500, 0.500, 0.500) and Ge at (0.500, 0.500, 0.000).

Record 4
The following is a DFT calculation (GGA-PBE) of a relaxed TaCd2InOs crystal.

As for the calculated total energy: -3.94 eV per atom. For the density of states at the Fermi level, the calculation gives 7.07 states/eV/cell. The magnetization is 0.0 μB/f.u. The value obtained for the theoretical density is 9.2 Mg/m³.

The structure belongs to space group P4/mmm (No. 123); the cell edges are 5.068, 5.068 and 5.013 Å and the angles 90.00°, 90.00° and 90.00°. Symmetry generates all atoms from Ta at (0.000, 0.000, 0.000), Cd at (0.000, 0.500, 0.500), In at (0.500, 0.500, 0.000) and Os at (0.500, 0.500, 0.500).

Record 5
The following is a DFT calculation (GGA-PBE) of a relaxed Fe3Re crystal.

As for the calculated total energy: -9.30 eV per atom. For the density of states at the Fermi level, the calculation gives 11.24 states/eV/cell. The magnetization is 6.7 μB/f.u. The value obtained for the theoretical density is 11.5 Mg/m³.

The structure belongs to space group R-3m (No. 166, hexagonal axes); the cell edges are 2.6890, 2.6890 and 24.3995 Å and the angles 90.00°, 90.00° and 120.00°. Symmetry generates all atoms from Fe at (0.0000, 0.0000, 0.0000), Fe at (0.0000, 0.0000, 0.2536) and Re at (0.0000, 0.0000, 0.5000).

Record 6
The following is a DFT calculation (GGA-PBE) of a relaxed CaYIr crystal.

As for the calculated total energy: -6.24 eV per atom. For the density of states at the Fermi level, the calculation gives 5.05 states/eV/cell. The magnetization is 0.0 μB/f.u. The value obtained for the theoretical density is 6.7 Mg/m³.

The structure belongs to space group Cm (No. 8); the cell edges are 12.383, 3.828 and 6.729 Å and the angles 90.00°, 91.27° and 90.00°. Symmetry generates all atoms from Ca at (0.000, 0.000, 0.000), Ca at (0.233, 0.500, 0.803), Y at (0.023, 0.000, 0.500), Y at (0.289, 0.000, 0.319), Ir at (0.132, 0.500, 0.246) and Ir at (0.400, 0.000, 0.700).